Record 1
Density functional theory data (PBE) for Pm5DyHoTm2 after structural relaxation.

The structure in CIF format:
```
data_Pm5DyHoTm2
_cell_length_a 5.615
_cell_length_b 10.491
_cell_length_c 10.659
_cell_angle_alpha 90.00
_cell_angle_beta 90.00
_cell_angle_gamma 105.52
_space_group_name_H-M_alt 'P 1'
_space_group_IT_number 1
_space_group_name_Hall 'P 1'
loop_
_atom_site_label
_atom_site_type_symbol
_atom_site_fract_x
_atom_site_fract_y
_atom_site_fract_z
_atom_site_occupancy
Pm1 Pm 0.720 0.439 0.812 1
Tm1 Tm 0.888 0.777 0.239 1
Pm2 Pm 0.016 0.033 0.019 1
Tm2 Tm 0.112 0.223 0.739 1
Pm3 Pm 0.280 0.561 0.312 1
Ho1 Ho 0.410 0.819 0.460 1
Pm4 Pm 0.386 0.773 0.022 1
Dy1 Dy 0.199 0.398 0.011 1
Pm5 Pm 0.702 0.403 0.207 1
Dy2 Dy 0.801 0.602 0.511 1
Pm6 Pm 0.482 0.964 0.742 1
Pm7 Pm 0.984 0.967 0.519 1
Pm8 Pm 0.518 0.036 0.242 1
Pm9 Pm 0.614 0.227 0.522 1
Ho2 Ho 0.590 0.181 0.960 1
Tm3 Tm 0.886 0.772 0.811 1
Pm10 Pm 0.298 0.597 0.707 1
Tm4 Tm 0.114 0.228 0.311 1
```

calculated formation energy = 1.3 eV/f.u.
calculated total energy = -81.08 eV/cell

***

Record 2
Density functional theory data (PBE) for TlCdSbBr6 after structural relaxation.

The structure in CIF format:
```
data_TlCdSbBr6
_cell_length_a 7.300
_cell_length_b 7.300
_cell_length_c 7.315
_cell_angle_alpha 90.00
_cell_angle_beta 90.00
_cell_angle_gamma 60.00
_space_group_name_H-M_alt 'P 1'
_space_group_IT_number 1
_space_group_name_Hall 'P 1'
loop_
_atom_site_label
_atom_site_type_symbol
_atom_site_fract_x
_atom_site_fract_y
_atom_site_fract_z
_atom_site_occupancy
Br1 Br 0.367 0.631 0.277 1
Cd1 Cd 0.333 0.333 0.500 1
Br2 Br 0.367 0.002 0.723 1
Br3 Br 0.002 0.367 0.277 1
Br4 Br 0.631 0.367 0.723 1
Br5 Br 0.631 0.002 0.277 1
Sb1 Sb 0.667 0.667 0.500 1
Br6 Br 0.002 0.631 0.723 1
Tl1 Tl 0.000 0.000 0.000 1
```

raw formation energy = -0.749 eV per atom
calculated total energy = -24.18 eV/cell

***

Record 3
Density functional theory data (PBE) for Zr2ScCo after structural relaxation.

The structure in CIF format:
```
data_Zr2ScCo
_cell_length_a 4.802
_cell_length_b 4.802
_cell_length_c 3.316
_cell_angle_alpha 90.00
_cell_angle_beta 90.00
_cell_angle_gamma 90.00
_space_group_name_H-M_alt 'P 1'
_space_group_IT_number 1
_space_group_name_Hall 'P 1'
loop_
_atom_site_label
_atom_site_type_symbol
_atom_site_fract_x
_atom_site_fract_y
_atom_site_fract_z
_atom_site_occupancy
Sc1 Sc 0.000 0.500 0.500 1
Co1 Co 0.500 0.000 0.500 1
Zr1 Zr 0.500 0.500 0.000 1
Zr2 Zr 0.000 0.000 0.000 1
```

calculated formation energy = 0.4 eV/f.u.
calculated total energy = -30.18 eV/cell
offset from the most stable computed form = 284.5 meV/atom

***

Record 4
Density functional theory data (PBE) for MnB4 after structural relaxation.

The structure in CIF format:
```
data_MnB4
_cell_length_a 2.940
_cell_length_b 4.608
_cell_length_c 5.358
_cell_angle_alpha 90.00
_cell_angle_beta 90.00
_cell_angle_gamma 90.00
_space_group_name_H-M_alt 'P 1'
_space_group_IT_number 1
_space_group_name_Hall 'P 1'
loop_
_atom_site_label
_atom_site_type_symbol
_atom_site_fract_x
_atom_site_fract_y
_atom_site_fract_z
_atom_site_occupancy
Mn1 Mn 0.000 0.500 0.500 1
B1 B 0.500 0.835 0.631 1
B2 B 0.000 0.335 0.869 1
B3 B 0.500 0.236 0.683 1
B4 B 0.500 0.764 0.317 1
B5 B 0.000 0.665 0.131 1
B6 B 0.500 0.165 0.369 1
B7 B 0.000 0.264 0.183 1
B8 B 0.000 0.736 0.817 1
Mn2 Mn 0.500 0.000 0.000 1
```

calculated formation energy = -1.4 eV/f.u.
calculated total energy = -74.53 eV/cell
offset from the most stable computed form = 9.8 meV/atom

***

Record 5
Density functional theory data (PBE) for CeSm3Ga4 after structural relaxation.

The structure in CIF format:
```
data_CeSm3Ga4
_cell_length_a 3.648
_cell_length_b 6.950
_cell_length_c 9.267
_cell_angle_alpha 112.00
_cell_angle_beta 101.35
_cell_angle_gamma 90.00
_space_group_name_H-M_alt 'P 1'
_space_group_IT_number 1
_space_group_name_Hall 'P 1'
loop_
_atom_site_label
_atom_site_type_symbol
_atom_site_fract_x
_atom_site_fract_y
_atom_site_fract_z
_atom_site_occupancy
Ga1 Ga 0.369 0.181 0.739 1
Sm1 Sm 0.200 0.200 0.400 1
Ga2 Ga 0.369 0.558 0.739 1
Ga3 Ga 0.631 0.442 0.261 1
Ga4 Ga 0.631 0.819 0.261 1
Sm2 Sm 0.800 0.800 0.600 1
Sm3 Sm 0.000 0.500 0.000 1
Ce1 Ce 0.500 0.000 0.000 1
```

calculated formation energy = -3.2 eV/f.u.
calculated total energy = -35.37 eV/cell
offset from the most stable computed form = 144.6 meV/atom

***

Record 6
Density functional theory data (PBE) for TlGeAu after structural relaxation.

The structure in CIF format:
```
data_TlGeAu
_cell_length_a 4.766
_cell_length_b 4.766
_cell_length_c 10.843
_cell_angle_alpha 90.00
_cell_angle_beta 90.00
_cell_angle_gamma 120.00
_space_group_name_H-M_alt 'P 1'
_space_group_IT_number 1
_space_group_name_Hall 'P 1'
loop_
_atom_site_label
_atom_site_type_symbol
_atom_site_fract_x
_atom_site_fract_y
_atom_site_fract_z
_atom_site_occupancy
Tl1 Tl 0.000 0.000 0.750 1
Ge1 Ge 0.000 0.000 0.500 1
Au1 Au 0.333 0.667 0.250 1
Au2 Au 0.667 0.333 0.750 1
Tl2 Tl 0.000 0.000 0.250 1
Ge2 Ge 0.000 0.000 0.000 1
```

calculated formation energy = 2.6 eV/f.u.
calculated total energy = -15.40 eV/cell

***

Record 7
Density functional theory data (PBE) for Y2GaCo after structural relaxation.

The structure in CIF format:
```
data_Y2GaCo
_cell_length_a 3.731
_cell_length_b 5.991
_cell_length_c 8.423
_cell_angle_alpha 110.87
_cell_angle_beta 90.00
_cell_angle_gamma 90.00
_space_group_name_H-M_alt 'P 1'
_space_group_IT_number 1
_space_group_name_Hall 'P 1'
loop_
_atom_site_label
_atom_site_type_symbol
_atom_site_fract_x
_atom_site_fract_y
_atom_site_fract_z
_atom_site_occupancy
Y1 Y 0.750 0.213 0.948 1
Y2 Y 0.250 0.789 0.595 1
Y3 Y 0.250 0.787 0.052 1
Co1 Co 0.250 0.334 0.211 1
Ga1 Ga 0.250 0.364 0.714 1
Y4 Y 0.750 0.211 0.405 1
Ga2 Ga 0.750 0.636 0.286 1
Co2 Co 0.750 0.666 0.789 1
```

calculated formation energy = -1.6 eV/f.u.
calculated total energy = -49.33 eV/cell

***

Record 8
Density functional theory data (PBE) for MgScBr3 after structural relaxation.

The structure in CIF format:
```
data_MgScBr3
_cell_length_a 5.247
_cell_length_b 5.247
_cell_length_c 5.247
_cell_angle_alpha 90.00
_cell_angle_beta 90.00
_cell_angle_gamma 90.00
_space_group_name_H-M_alt 'P 1'
_space_group_IT_number 1
_space_group_name_Hall 'P 1'
loop_
_atom_site_label
_atom_site_type_symbol
_atom_site_fract_x
_atom_site_fract_y
_atom_site_fract_z
_atom_site_occupancy
Mg1 Mg 0.000 0.000 0.000 1
Br1 Br 0.000 0.000 0.500 1
Br2 Br 0.000 0.500 0.000 1
Sc1 Sc 0.500 0.500 0.500 1
Br3 Br 0.500 0.000 0.000 1
```

raw formation energy = -0.668 eV per atom
calculated total energy = -16.28 eV/cell
offset from the most stable computed form = 308.7 meV/atom

***

Record 9
Density functional theory data (PBE) for NdThP2 after structural relaxation.

The structure in CIF format:
```
data_NdThP2
_cell_length_a 4.101
_cell_length_b 4.101
_cell_length_c 7.479
_cell_angle_alpha 74.09
_cell_angle_beta 74.09
_cell_angle_gamma 60.00
_space_group_name_H-M_alt 'P 1'
_space_group_IT_number 1
_space_group_name_Hall 'P 1'
loop_
_atom_site_label
_atom_site_type_symbol
_atom_site_fract_x
_atom_site_fract_y
_atom_site_fract_z
_atom_site_occupancy
P1 P 0.081 0.081 0.756 1
P2 P 0.253 0.253 0.241 1
Nd1 Nd 0.496 0.496 0.512 1
Th1 Th 0.670 0.670 0.991 1
```

calculated formation energy = -5.6 eV/f.u.
calculated total energy = -28.63 eV/cell
offset from the most stable computed form = 160.3 meV/atom

***

Record 10
Density functional theory data (PBE) for Zr2MnCu after structural relaxation.

The structure in CIF format:
```
data_Zr2MnCu
_cell_length_a 5.533
_cell_length_b 5.533
_cell_length_c 4.714
_cell_angle_alpha 70.03
_cell_angle_beta 70.03
_cell_angle_gamma 31.91
_space_group_name_H-M_alt 'P 1'
_space_group_IT_number 1
_space_group_name_Hall 'P 1'
loop_
_atom_site_label
_atom_site_type_symbol
_atom_site_fract_x
_atom_site_fract_y
_atom_site_fract_z
_atom_site_occupancy
Zr1 Zr 0.984 0.984 0.041 1
Cu1 Cu 0.525 0.525 0.517 1
Zr2 Zr 0.769 0.769 0.704 1
Mn1 Mn 0.222 0.222 0.238 1
```

calculated formation energy = 0.2 eV/f.u.
calculated total energy = -30.15 eV/cell
offset from the most stable computed form = 156.7 meV/atom

***

Record 11
Density functional theory data (PBE) for CaPrHoMg after structural relaxation.

The structure in CIF format:
```
data_CaPrHoMg
_cell_length_a 3.657
_cell_length_b 3.657
_cell_length_c 9.747
_cell_angle_alpha 90.00
_cell_angle_beta 90.00
_cell_angle_gamma 90.00
_space_group_name_H-M_alt 'P 1'
_space_group_IT_number 1
_space_group_name_Hall 'P 1'
loop_
_atom_site_label
_atom_site_type_symbol
_atom_site_fract_x
_atom_site_fract_y
_atom_site_fract_z
_atom_site_occupancy
Ca1 Ca 0.000 0.000 0.099 1
Pr1 Pr 0.500 0.500 0.800 1
Mg1 Mg 0.500 0.500 0.335 1
Ho1 Ho 0.000 0.000 0.550 1
```

calculated formation energy = -0.1 eV/f.u.
calculated total energy = -13.02 eV/cell
offset from the most stable computed form = 0.0 meV/atom

***

Record 12
Density functional theory data (PBE) for AcPr2Mg3 after structural relaxation.

The structure in CIF format:
```
data_AcPr2Mg3
_cell_length_a 3.984
_cell_length_b 3.984
_cell_length_c 11.949
_cell_angle_alpha 90.00
_cell_angle_beta 90.00
_cell_angle_gamma 90.00
_space_group_name_H-M_alt 'P 1'
_space_group_IT_number 1
_space_group_name_Hall 'P 1'
loop_
_atom_site_label
_atom_site_type_symbol
_atom_site_fract_x
_atom_site_fract_y
_atom_site_fract_z
_atom_site_occupancy
Pr1 Pr 0.500 0.500 0.840 1
Mg1 Mg 0.000 0.000 0.317 1
Mg2 Mg 0.000 0.000 0.000 1
Pr2 Pr 0.500 0.500 0.160 1
Ac1 Ac 0.500 0.500 0.500 1
Mg3 Mg 0.000 0.000 0.683 1
```

calculated formation energy = -0.6 eV/f.u.
calculated total energy = -19.05 eV/cell

***

| no. | total magnetization (μB per formula unit) |
| --- | --- |
| 1 | 0.00 |
| 2 | 0.00 |
| 3 | 0.69 |
| 4 | 0.61 |
| 5 | 1.13 |
| 6 | 0.00 |
| 7 | 0.00 |
| 8 | 1.89 |
| 9 | 0.00 |
| 10 | 2.45 |
| 11 | 0.00 |
| 12 | 0.00 |